# 1
GaIrO4 | GGA-PBE | optimized geometry

Summary:
Formation energy (no corrections): -26.98 kcal/mol of atoms
Symmetry: I4_1md (109)
M_tot: 0.000 μB/f.u.
Mass density: 8.437 g/cm3

Lattice parameters (Å, degrees): 5.5043 5.5043 5.5043 108.64 108.64 111.14
Atoms (fractional coordinates):
Ga 0.7594 0.7594 0.0000
Ga 0.5094 0.0094 0.5000
Ir 0.2454 0.2454 0.0000
Ir 0.9954 0.4954 0.5000
O 0.2466 0.9424 0.6958
O 0.7510 0.4460 0.6950
O 0.6924 0.4966 0.1958
O 0.1960 0.0010 0.1950
O 0.3008 0.4966 0.8042
O 0.8059 0.0010 0.8050
O 0.7510 0.0559 0.3050
O 0.2466 0.5508 0.3042



# 2
Rb2TcPbI6 | GGA-PBE | optimized geometry

Summary:
Formation energy (no corrections): -14.17 kcal/mol of atoms
Symmetry: I4/mmm (139)
M_tot: 4.996 μB/f.u.
Mass density: 4.463 g/cm3

Lattice parameters (Å, degrees): 8.6535 8.6535 8.6745 60.08 60.08 90.00
Last column: magnetic moment on the atom in μB.
Atoms (fractional coordinates):
Pb 0.0000 0.0000 0.0000  0.13
I 0.2606 0.2606 0.4788  0.06
I 0.7394 0.7394 0.5212  0.06
I 0.2616 0.2616 0.0000  0.06
I 0.7384 0.7384 0.0000  0.06
I 0.7384 0.2616 0.0000  0.06
I 0.2616 0.7384 0.0000  0.06
Tc 0.5000 0.5000 0.0000  3.62
Rb 0.7500 0.2500 0.5000  0.00
Rb 0.2500 0.7500 0.5000  0.00



# 3
Mg6Hg | GGA-PBE | optimized geometry

Summary:
Formation energy from the elements: 0.69 eV per atom
Symmetry: Im-3m (229)
M_tot: 0.000 μB/f.u.
Mass density: 1.985 g/cm3

Lattice parameters (Å, degrees): 7.2202 7.2202 7.2202 109.47 109.47 109.47
Atoms (fractional coordinates):
Mg 0.2500 0.7500 0.5000
Mg 0.5000 0.7500 0.2500
Mg 0.2500 0.5000 0.7500
Mg 0.7500 0.2500 0.5000
Mg 0.5000 0.2500 0.7500
Mg 0.7500 0.5000 0.2500
Hg 0.0000 0.0000 0.0000



# 4
MnCr2Rh | GGA-PBE | optimized geometry

Summary:
Formation energy from the elements: 0.12 eV per atom
Symmetry: Imm2 (44)
M_tot: 1.631 μB/f.u.
Mass density: 8.672 g/cm3

Lattice parameters (Å, degrees): 4.8481 4.8481 4.8481 145.46 128.28 63.69
Last column: magnetic moment on the atom in μB.
Atoms (fractional coordinates):
Cr 0.9798 0.9798 0.0000  -0.47
Cr 0.7618 0.2618 0.5000  -0.35
Mn 0.5158 0.5158 0.0000  2.38
Rh 0.2425 0.7425 0.5000  0.08



# 5
NaNbCo2Te | GGA-PBE | optimized geometry

Summary:
Formation energy (no corrections): 40.53 kcal/mol of atoms
Symmetry: P4/mmm (123)
M_tot: 3.448 μB/f.u.
Mass density: 6.296 g/cm3

Lattice parameters (Å, degrees): 4.3768 4.9751 4.3768 90.00 90.00 90.00
Last column: magnetic moment on the atom in μB.
Atoms (fractional coordinates):
Na 0.0000 0.0000 0.0000  -0.02
Nb 0.0000 0.5000 0.0000  0.45
Te 0.5000 0.5000 0.5000  0.00
Co 0.0000 0.0000 0.5000  1.52
Co 0.5000 0.0000 0.0000  1.54



# 6
AgPd2S | GGA-PBE | optimized geometry

Summary:
Formation energy (no corrections): -0.10 kcal/mol of atoms
Symmetry: P4/mmm (123)
M_tot: 0.000 μB/f.u.
Mass density: 9.256 g/cm3

Lattice parameters (Å, degrees): 3.0398 3.0398 6.8490 90.00 90.00 90.00
Atoms (fractional coordinates):
S 0.5000 0.5000 0.0000
Pd 0.0000 0.0000 0.7853
Pd 0.0000 0.0000 0.2147
Ag 0.5000 0.5000 0.5000